[1]
Here is crystalline InPt3Rh2 at its relaxed geometry from Alexandria. Energies are from PBE.

Calculated values
- E_tot (eV/atom) = -5.97

Cell lengths 5.5448, 5.5346, 7.1084 Å; angles 101.12, 112.96, 90.00 degrees
Positions (direct):
In 0.2488 0.2500 0.0000
In 0.7512 0.7500 0.0000
Pt 0.2513 0.7500 0.0000
Pt 0.7487 0.2500 0.0000
Pt 0.8328 0.9193 0.6696
Pt 0.1632 0.5807 0.3304
Pt 0.8368 0.4193 0.6696
Pt 0.1672 0.0807 0.3304
Rh 0.3392 0.4151 0.6810
Rh 0.3418 0.9151 0.6810
Rh 0.6582 0.0849 0.3190
Rh 0.6608 0.5849 0.3190

***

[2]
Here is crystalline LiSm2Pa at its relaxed geometry from Alexandria. Energies are from PBE.

Calculated values
- energy above the lowest structure with this stoichiometry (eV/f.u.) = 0.000

Cell lengths 3.4400, 3.4400, 9.3802 Å; angles 90.00, 90.00, 90.00 degrees
Positions (direct):
Pa 0.5000 0.5000 0.5000
Sm 0.0000 0.0000 0.7517
Sm 0.0000 0.0000 0.2483
Li 0.5000 0.5000 0.0000

***

[3]
Here is crystalline KNa2LiSb at its relaxed geometry from Alexandria. Energies are from PBE.

Calculated values
- energy above the lowest structure with this stoichiometry (eV/f.u.) = 0.000
- formation energy from raw total energies (eV/f.u.) = -1.185

Cell lengths 6.0780, 6.0780, 5.3602 Å; angles 90.00, 90.00, 90.00 degrees
Positions (direct):
Sb 0.0000 0.0000 0.0000
K 0.5000 0.5000 0.5000
Li 0.0000 0.0000 0.5000
Na 0.0000 0.5000 0.0000
Na 0.5000 0.0000 0.0000

***

[4]
Here is crystalline Ac3Au8 at its relaxed geometry from Alexandria. Energies are from PBE.

Calculated values
- E_tot (eV/atom) = -4.20

Cell lengths 4.0015, 4.7850, 14.9417 Å; angles 99.21, 97.70, 90.00 degrees
Positions (direct):
Ac 0.0000 0.0000 0.0000
Ac 0.1467 0.6467 0.2934
Ac 0.8533 0.3533 0.7066
Au 0.7408 0.7408 0.4815
Au 0.2592 0.2592 0.5185
Au 0.5478 0.5478 0.0957
Au 0.4522 0.4522 0.9043
Au 0.4043 0.9043 0.8087
Au 0.5957 0.0957 0.1913
Au 0.3104 0.8104 0.6208
Au 0.6896 0.1896 0.3792

***

[5]
Here is crystalline TaReW2 at its relaxed geometry from Alexandria. Energies are from PBE.

Calculated values
- energy above the lowest structure with this stoichiometry (eV/f.u.) = 0.299

Cell lengths 4.5121, 4.5121, 4.5121 Å; angles 60.00, 60.00, 60.00 degrees
Positions (direct):
Re 0.5000 0.5000 0.5000
W 0.2500 0.2500 0.2500
W 0.7500 0.7500 0.7500
Ta 0.0000 0.0000 0.0000

***

[6]
Here is crystalline FeSi3S at its relaxed geometry from Alexandria. Energies are from PBE.

Calculated values
- energy above the lowest structure with this stoichiometry (eV/f.u.) = 0.000
- formation energy from raw total energies (eV/f.u.) = 0.529

Cell lengths 4.3495, 4.3495, 4.3495 Å; angles 90.00, 90.00, 90.00 degrees
Positions (direct):
S 0.5000 0.5000 0.5000
Si 0.0000 0.5000 0.0000
Si 0.0000 0.0000 0.5000
Si 0.5000 0.0000 0.0000
Fe 0.0000 0.0000 0.0000

***

[7]
Here is crystalline Nb2ReBS at its relaxed geometry from Alexandria. Energies are from PBE.

Calculated values
- formation energy from raw total energies (eV/f.u.) = 8.697

Cell lengths 4.9815, 4.2768, 4.9815 Å; angles 90.00, 90.00, 90.00 degrees
Positions (direct):
Re 0.0000 0.0000 0.0000
Nb 0.0000 0.0000 0.5000
Nb 0.5000 0.0000 0.0000
B 0.5000 0.5000 0.5000
S 0.0000 0.5000 0.0000

***

[8]
Here is crystalline Tb2InNi9 at its relaxed geometry from Alexandria. Energies are from PBE.

Calculated values
- E_tot (eV/atom) = -5.59

Cell lengths 4.9254, 4.9254, 8.5999 Å; angles 73.36, 73.36, 60.00 degrees
Site moments in Bohr magnetons follow the coordinates.
Positions (direct):
Tb 0.8637 0.8637 0.4088  -0.04
Tb 0.1363 0.1363 0.5912  -0.04
In 0.0000 0.0000 0.0000  -0.01
Ni 0.6670 0.6670 0.9989  0.23
Ni 0.3330 0.3330 0.0011  0.23
Ni 0.5000 0.5000 0.5000  0.08
Ni 0.4175 0.4175 0.2460  0.14
Ni 0.9189 0.4175 0.2460  0.14
Ni 0.4175 0.9189 0.2460  0.14
Ni 0.5825 0.5825 0.7540  0.14
Ni 0.5825 0.0811 0.7540  0.14
Ni 0.0811 0.5825 0.7540  0.14

***

[9]
Here is crystalline KLi2AcPb2 at its relaxed geometry from Alexandria. Energies are from PBE.

Calculated values
- E_tot (eV/atom) = -3.05

Cell lengths 5.1999, 5.1999, 8.5290 Å; angles 90.00, 90.00, 120.00 degrees
Positions (direct):
K 0.0000 0.0000 0.0000
Li 0.3333 0.6667 0.7138
Li 0.6667 0.3333 0.2862
Ac 0.0000 0.0000 0.5000
Pb 0.3333 0.6667 0.3005
Pb 0.6667 0.3333 0.6995

***

[10]
Here is crystalline Cs2AlIn2 at its relaxed geometry from Alexandria. Energies are from PBE.

Calculated values
- E_tot (eV/atom) = -2.05

Cell lengths 7.6300, 7.6300, 6.6227 Å; angles 90.00, 90.00, 90.00 degrees
Positions (direct):
Cs 0.1796 0.6796 0.5000
Cs 0.6796 0.8204 0.5000
Cs 0.8204 0.3204 0.5000
Cs 0.3204 0.1796 0.5000
Al 0.0000 0.0000 0.0000
Al 0.5000 0.5000 0.0000
In 0.3591 0.8591 0.0000
In 0.8591 0.6409 0.0000
In 0.6409 0.1409 0.0000
In 0.1409 0.3591 0.0000

***

[11]
Here is crystalline Lu2ScPd at its relaxed geometry from Alexandria. Energies are from PBE.

Calculated values
- energy above the lowest structure with this stoichiometry (eV/f.u.) = 0.000

Cell lengths 3.4920, 3.4920, 7.7385 Å; angles 90.00, 90.00, 90.00 degrees
Positions (direct):
Sc 0.5000 0.5000 0.5000
Lu 0.0000 0.0000 0.7868
Lu 0.0000 0.0000 0.2132
Pd 0.5000 0.5000 0.0000

***

[12]
Here is crystalline MgS2Br2 at its relaxed geometry from Alexandria. Energies are from PBE.

Calculated values
- energy above the lowest structure with this stoichiometry (eV/f.u.) = 0.000
- formation energy from raw total energies (eV/f.u.) = -2.377

Cell lengths 7.0494, 7.0494, 8.4027 Å; angles 90.00, 90.00, 90.00 degrees
Site moments in Bohr magnetons follow the coordinates.
Positions (direct):
S 0.0953 0.5953 0.5000  0.58
S 0.5953 0.9047 0.5000  0.58
S 0.9047 0.4047 0.5000  0.58
S 0.4047 0.0953 0.5000  0.58
Mg 0.0000 0.0000 0.0000  0.00
Mg 0.5000 0.5000 0.0000  0.00
Br 0.1839 0.6839 0.0000  0.01
Br 0.6839 0.8161 0.0000  0.01
Br 0.8161 0.3161 0.0000  0.01
Br 0.3161 0.1839 0.0000  0.01

***

[13]
Here is crystalline NdSmDy2Sc2 at its relaxed geometry from Alexandria. Energies are from PBE.

Calculated values
- E_tot (eV/atom) = -4.95

Cell lengths 3.3530, 6.3101, 17.5572 Å; angles 90.00, 90.00, 90.00 degrees
Positions (direct):
Nd 0.0000 0.0000 0.0000
Nd 0.5000 0.5000 0.5000
Sm 0.5000 0.5000 0.0000
Sm 0.0000 0.0000 0.5000
Dy 0.5000 0.2817 0.3073
Dy 0.0000 0.7817 0.1927
Dy 0.5000 0.7183 0.6927
Dy 0.0000 0.2183 0.8073
Sc 0.5000 0.7835 0.3535
Sc 0.5000 0.2165 0.6465
Sc 0.0000 0.7165 0.8535
Sc 0.0000 0.2835 0.1465

***

[14]
Here is crystalline Cs2Sc2SbS6 at its relaxed geometry from Alexandria. Energies are from PBE.

Calculated values
- formation energy from raw total energies (eV/f.u.) = -14.414

Cell lengths 6.6591, 6.6591, 8.5206 Å; angles 97.54, 97.54, 120.15 degrees
Positions (direct):
Cs 0.8334 0.1666 0.0000
Cs 0.1666 0.8334 0.0000
Sc 0.3328 0.6672 0.5000
Sc 0.6672 0.3328 0.5000
Sb 0.0000 0.0000 0.5000
S 0.7204 0.7204 0.6716
S 0.0587 0.3948 0.6720
S 0.2796 0.2796 0.3284
S 0.3948 0.0587 0.6720
S 0.9413 0.6052 0.3280
S 0.6052 0.9413 0.3280

***

[15]
Here is crystalline LiLaEuAu at its relaxed geometry from Alexandria. Energies are from PBE.

Calculated values
- E_tot (eV/atom) = -5.46

Cell lengths 5.3599, 5.3599, 5.3599 Å; angles 60.00, 60.00, 60.00 degrees
Site moments in Bohr magnetons follow the coordinates.
Positions (direct):
Eu 0.7500 0.7500 0.7500  6.85
Li 0.0000 0.0000 0.0000  0.01
Au 0.5000 0.5000 0.5000  0.00
La 0.2500 0.2500 0.2500  0.03

***

[16]
Here is crystalline NaSc3Te at its relaxed geometry from Alexandria. Energies are from PBE.

Calculated values
- energy above the lowest structure with this stoichiometry (eV/f.u.) = 0.000
- formation energy from raw total energies (eV/f.u.) = 0.799

Cell lengths 5.4358, 5.4358, 5.4358 Å; angles 90.00, 90.00, 90.00 degrees
Positions (direct):
Sc 0.0000 0.5000 0.0000
Sc 0.0000 0.0000 0.5000
Sc 0.5000 0.0000 0.0000
Na 0.5000 0.5000 0.5000
Te 0.0000 0.0000 0.0000

***

[17]
Here is crystalline IrPdRuO2 at its relaxed geometry from Alexandria. Energies are from PBE.

Calculated values
- formation energy from raw total energies (eV/f.u.) = 5.039

Cell lengths 3.7854, 5.3066, 3.7854 Å; angles 90.00, 90.00, 90.00 degrees
Site moments in Bohr magnetons follow the coordinates.
Positions (direct):
Ru 0.5000 0.5000 0.5000  2.11
Ir 0.0000 0.5000 0.0000  0.73
O 0.0000 0.0000 0.5000  -0.08
O 0.5000 0.0000 0.0000  -0.38
Pd 0.0000 0.0000 0.0000  -0.37

***

[18]
Here is crystalline Ti2NbMo6W3 at its relaxed geometry from Alexandria. Energies are from PBE.

Calculated values
- E_tot (eV/atom) = -10.60

Cell lengths 4.8094, 4.8094, 9.1832 Å; angles 89.81, 89.81, 111.54 degrees
Positions (direct):
Ti 0.3322 0.6678 0.0000
Ti 0.6678 0.3322 0.0000
Nb 0.0000 0.0000 0.0000
Mo 0.9134 0.5779 0.7487
Mo 0.7507 0.7507 0.2509
Mo 0.0866 0.4221 0.2513
Mo 0.5779 0.9134 0.7487
Mo 0.2493 0.2493 0.7491
Mo 0.4221 0.0866 0.2513
W 0.1663 0.8337 0.5000
W 0.8337 0.1663 0.5000
W 0.5000 0.5000 0.5000

***

[19]
Here is crystalline NdGdMgRu at its relaxed geometry from Alexandria. Energies are from PBE.

Calculated values
- E_tot (eV/atom) = -7.54

Cell lengths 5.1255, 5.1255, 5.1255 Å; angles 60.00, 60.00, 60.00 degrees
Site moments in Bohr magnetons follow the coordinates.
Positions (direct):
Ru 0.2500 0.2500 0.2500  -0.21
Mg 0.7500 0.7500 0.7500  -0.01
Gd 0.0000 0.0000 0.0000  7.05
Nd 0.5000 0.5000 0.5000  0.02

***

[20]
Here is crystalline KMoRu at its relaxed geometry from Alexandria. Energies are from PBE.

Calculated values
- energy above the lowest structure with this stoichiometry (eV/f.u.) = 0.124

Cell lengths 2.9021, 2.9021, 8.0266 Å; angles 90.00, 90.00, 120.00 degrees
Positions (direct):
K 0.0000 0.0000 0.9878
Mo 0.6667 0.3333 0.3839
Ru 0.3333 0.6667 0.6284

***

no.,magnetization (μB/cell)
1,0.00
2,0.00
3,0.00
4,0.00
5,0.00
6,0.00
7,0.00
8,1.20
9,0.00
10,0.00
11,0.00
12,4.00
13,0.00
14,0.00
15,7.18
16,0.00
17,2.11
18,0.00
19,7.02
20,0.00